Record 1
## Nd2Sm2CI4Br (PBE-GGA)

Data for a geometry-optimized Nd2Sm2CI4Br structure.

For the raw total energy, the calculation gives -4.78 eV per atom.

The structure belongs to space group C2/m (No. 12); the cell edges are 19.3900, 4.0442 and 8.5838 Å and the angles 90.00°, 102.27° and 90.00°. Symmetry generates all atoms from Nd at (0.0011, 0.0000, 0.2971), Sm at (0.1312, 0.5000, 0.5658), C at (0.0000, 0.5000, 0.5000), I at (0.1651, 0.0000, 0.8474), I at (0.1708, 0.0000, 0.3185) and Br at (0.0000, 0.5000, 0.0000).

---

Record 2
## Nd2Sm2C2IBr4 (PBE-GGA)

Data for a geometry-optimized Nd2Sm2C2IBr4 structure.

Its energy relative to the lowest polymorph listed for this composition is 19 meV/atom. For the raw total energy, the calculation gives -5.44 eV per atom.

The structure belongs to space group C2/m (No. 12); the cell edges are 19.4106, 3.9341 and 8.5130 Å and the angles 90.00°, 105.15° and 90.00°. Symmetry generates all atoms from Nd at (0.1581, 0.0000, 0.1001), Sm at (0.0005, 0.5000, 0.1916), C at (0.0376, 0.0000, 0.0229), I at (0.0000, 0.0000, 0.5000), Br at (0.1595, 0.5000, 0.3611) and Br at (0.1666, 0.5000, 0.8348).

---

Record 3
## Nd2Sm2C2I2Br3 (PBE-GGA)

Data for a geometry-optimized Nd2Sm2C2I2Br3 structure.

Its energy relative to the lowest polymorph listed for this composition is 32 meV/atom. For the raw total energy, the calculation gives -5.36 eV per atom.

The structure belongs to space group C2/m (No. 12); the cell edges are 19.6498, 3.9357 and 8.3901 Å and the angles 90.00°, 103.76° and 90.00°. Symmetry generates all atoms from Nd at (0.1554, 0.0000, 0.0889), Sm at (0.0017, 0.5000, 0.8032), C at (0.0368, 0.0000, 0.0197), I at (0.1616, 0.5000, 0.3807), Br at (0.0000, 0.0000, 0.5000) and Br at (0.1674, 0.5000, 0.8275).

---

Record 4
## Nd2Sm2C2I3Br2 (PBE-GGA)

Data for a geometry-optimized Nd2Sm2C2I3Br2 structure.

Its energy relative to the lowest polymorph listed for this composition is 7 meV/atom. For the raw total energy, the calculation gives -5.30 eV per atom.

The structure belongs to space group C2/m (No. 12); the cell edges are 19.6711, 3.9821 and 8.6114 Å and the angles 90.00°, 104.36° and 90.00°. Symmetry generates all atoms from Nd at (0.1559, 0.0000, 0.0889), Sm at (0.0016, 0.5000, 0.8106), C at (0.0368, 0.0000, 0.0201), I at (0.0000, 0.0000, 0.5000), I at (0.1623, 0.5000, 0.3740) and Br at (0.1672, 0.5000, 0.8331).